PBE TaVIn, relaxed; total DFT energy (no corrections) = -23.35 eV per cell; symmetry = I4mm; calculated volume = 53.81 Å³ per cell; relative energy among the computed polymorphs = 0 meV/atom
1.0
-1.6780 1.6780 4.7778
1.6780 -1.6780 4.7778
1.6780 1.6780 -4.7778
Ta V In
1 1 1
Cartesian
0.0000 0.0000 0.0000
0.0000 0.0000 3.5707
0.0000 0.0000 6.6183